*w*
10
Lattice="7.562 0.000 0.000 0.000 7.562 0.000 0.000 0.000 3.631" Properties=species:S:1:pos:R:3 comment="Sc2TeP2 PBE-GGA optimized geometry" mass_density_g_cm3=4.47 dos_at_fermi_per_ev_atom=0.753 pbc="T T T"
Sc 2.571 6.352 0.000
Sc 6.352 4.991 0.000
Sc 4.991 1.210 0.000
Sc 1.210 2.571 0.000
P 0.795 4.576 1.816
P 4.576 6.767 1.816
P 6.767 2.986 1.816
P 2.986 0.795 1.816
Te 0.000 0.000 0.000
Te 3.781 3.781 0.000

*x*
5
Lattice="-2.152 0.896 -2.891 -2.955 -1.387 1.770 -3.812 6.171 2.365" Properties=species:S:1:pos:R:3 comment="Sc2TeP2 PBE-GGA optimized geometry" mass_density_g_cm3=4.70 dos_at_fermi_per_ev_atom=0.451 pbc="T T T"
Sc -2.848 1.259 0.125
Sc -6.070 4.422 1.119
P -4.258 3.411 -0.543
P -4.660 2.270 1.787
Te 0.000 0.000 0.000

The structure with the least stability is *w*.

*w*
12
Lattice="6.148 -0.300 3.187 2.314 6.582 1.199 0.313 -0.150 6.918" Properties=species:S:1:pos:R:3 comment="Sc3Te2P PBE-GGA optimized geometry" mass_density_g_cm3=5.03 dos_at_fermi_per_ev_atom=0.589 pbc="T T T"
Sc 4.077 1.190 4.570
Sc 6.170 4.995 3.199
Sc 4.698 4.941 6.735
Sc 2.377 5.091 3.689
Sc 6.398 1.040 7.616
Sc 2.292 1.286 1.188
Te 0.000 0.000 0.000
Te 4.231 3.141 2.193
Te 6.433 2.991 5.467
Te 2.341 3.141 5.838
P 2.146 -0.150 3.384
P 4.315 -0.300 6.722

*x*
12
Lattice="-0.572 -6.166 -3.039 5.590 2.507 -3.376 0.716 -1.991 6.667" Properties=species:S:1:pos:R:3 comment="Sc3Te2P PBE-GGA optimized geometry" mass_density_g_cm3=5.03 dos_at_fermi_per_ev_atom=0.621 pbc="T T T"
Sc 1.567 -0.200 1.665
Sc 1.953 -2.663 -1.239
Sc 2.795 1.253 -1.688
Sc 4.166 -5.450 -1.413
Sc 0.072 -4.078 1.814
Sc 3.780 -2.987 1.491
Te 5.064 0.612 -3.347
Te 1.731 -2.463 3.520
Te 0.669 -6.262 3.599
Te 4.002 -3.187 -3.268
P 3.457 -0.871 -0.036
P 2.276 -4.779 0.288

The structure with the least stability is *x*.

*w*
5
Lattice="-1.717 0.575 4.244 -3.062 -3.361 -0.784 2.994 -3.108 1.632" Properties=species:S:1:pos:R:3 comment="ScTi3P PBE-GGA optimized geometry" mass_density_g_cm3=3.71 dos_at_fermi_per_ev_atom=1.365 pbc="T T T"
Sc 0.000 0.000 0.000
P -0.893 -2.947 2.546
Ti -1.531 -1.681 -0.392
Ti 1.497 -1.554 0.816
Ti -0.858 0.287 2.122

*x*
5
Lattice="-1.473 -4.243 -1.065 3.501 -0.470 -2.971 2.622 -1.756 3.368" Properties=species:S:1:pos:R:3 comment="ScTi3P PBE-GGA optimized geometry" mass_density_g_cm3=3.71 dos_at_fermi_per_ev_atom=0.773 pbc="T T T"
Sc 2.325 -3.234 -0.334
P 0.000 0.000 0.000
Ti 1.751 -0.235 -1.485
Ti 1.311 -0.878 1.684
Ti -0.736 -2.121 -0.532

The structure with the least stability is *w*.

*w*
4
Lattice="-1.233 0.409 4.305 -4.082 -1.358 1.308 -0.434 -3.663 2.572" Properties=species:S:1:pos:R:3 comment="ScTiP2 PBE-GGA optimized geometry" mass_density_g_cm3=4.00 dos_at_fermi_per_ev_atom=1.287 pbc="T T T"
Sc 0.000 0.000 0.000
P -1.437 -1.153 2.046
P -4.312 -3.459 6.139
Ti -2.874 -2.306 4.092

*x*
4
Lattice="-3.589 0.420 -0.150 -1.844 -1.216 -2.863 -2.542 -5.543 1.709" Properties=species:S:1:pos:R:3 comment="ScTiP2 PBE-GGA optimized geometry" mass_density_g_cm3=3.80 dos_at_fermi_per_ev_atom=0.482 pbc="T T T"
Sc -3.987 -3.170 -0.652
Ti 0.000 0.000 0.000
P -1.983 -1.509 -0.365
P -5.992 -4.830 -0.940

The structure with the least stability is *w*.

*w*
8
Lattice="5.754 0.000 0.000 0.000 5.754 0.000 2.877 2.877 5.669" Properties=species:S:1:pos:R:3 comment="ScTiP2 PBE-GGA optimized geometry" mass_density_g_cm3=2.74 dos_at_fermi_per_ev_atom=0.863 pbc="T T T"
Sc 2.877 2.877 0.000
Sc 2.877 5.754 2.834
P 4.456 1.439 1.417
P 1.298 4.316 1.417
P 4.316 4.175 4.252
P 7.193 7.333 4.252
Ti 0.000 0.000 0.000
Ti 5.754 2.877 2.834

*x*
4
Lattice="-3.111 1.253 1.265 -2.693 0.715 -2.254 -4.008 -5.137 0.309" Properties=species:S:1:pos:R:3 comment="ScTiP2 PBE-GGA optimized geometry" mass_density_g_cm3=3.73 dos_at_fermi_per_ev_atom=0.901 pbc="T T T"
Sc -7.851 -3.751 -0.358
Ti -4.924 -1.635 -0.334
P -3.466 -3.623 0.142
P -2.485 -0.882 -0.160

The structure with the least stability is *w*.

*w*
3
Lattice="-2.076 2.956 0.420 -1.620 -1.544 2.866 5.824 1.597 1.809" Properties=species:S:1:pos:R:3 comment="ScTlP PBE-GGA optimized geometry" mass_density_g_cm3=6.13 dos_at_fermi_per_ev_atom=0.453 pbc="T T T"
Sc 0.947 2.603 4.478
Tl 0.916 0.826 1.194
P 2.834 1.921 2.870

*x*
6
Lattice="-2.245 -2.007 2.116 2.407 -2.824 -0.124 5.838 4.930 7.687" Properties=species:S:1:pos:R:3 comment="ScTlP PBE-GGA optimized geometry" mass_density_g_cm3=6.38 dos_at_fermi_per_ev_atom=0.289 pbc="T T T"
Sc 2.219 -1.166 3.465
Sc 3.242 2.098 4.440
Tl 4.576 0.862 7.995
Tl -0.293 -0.825 1.213
P 3.421 -0.243 5.610
P -0.219 -0.842 4.385

*y*
3
Lattice="2.036 -3.526 0.000 2.036 3.526 0.000 0.000 0.000 5.229" Properties=species:S:1:pos:R:3 comment="ScTlP PBE-GGA optimized geometry" mass_density_g_cm3=6.20 dos_at_fermi_per_ev_atom=0.261 pbc="T T T"
Sc 2.036 -1.175 1.252
Tl 2.036 1.175 3.600
P 0.000 0.000 0.377

The structure with the least stability is *y*.

*w*
12
Lattice="-5.433 2.313 -8.895 -4.448 0.158 2.758 1.310 4.737 1.841" Properties=species:S:1:pos:R:3 comment="ScTlP PBE-GGA optimized geometry" mass_density_g_cm3=6.51 dos_at_fermi_per_ev_atom=0.203 pbc="T T T"
Sc -5.890 1.953 -0.543
Sc -6.349 5.385 -1.478
Sc -3.011 4.242 -1.001
Sc -4.780 2.938 -3.778
Tl -8.519 3.197 -5.156
Tl -3.450 4.131 2.968
Tl -5.641 5.487 -5.614
Tl -1.881 1.683 0.668
P -7.107 3.122 -2.571
P -5.133 4.216 0.550
P -4.228 5.411 -3.029
P -3.564 1.769 -1.749

*x*
6
Lattice="-1.924 0.141 -3.643 0.376 -6.734 -0.459 -4.583 -0.420 2.404" Properties=species:S:1:pos:R:3 comment="ScTlP PBE-GGA optimized geometry" mass_density_g_cm3=6.43 dos_at_fermi_per_ev_atom=0.315 pbc="T T T"
Sc -3.429 -6.408 1.563
Sc -2.400 -0.736 -1.093
Tl -2.378 -3.287 1.129
Tl -1.014 -3.634 -1.937
P -1.152 -5.993 0.377
P -4.684 -1.152 0.097

*y*
12
Lattice="-2.057 -7.588 1.005 2.610 -0.367 2.572 -5.671 3.838 6.303" Properties=species:S:1:pos:R:3 comment="ScTlP PBE-GGA optimized geometry" mass_density_g_cm3=6.93 dos_at_fermi_per_ev_atom=0.696 pbc="T T T"
Sc -3.921 1.515 4.195
Sc -3.807 -5.265 3.113
Sc 0.220 -0.587 2.329
Sc -5.338 -3.530 7.550
Tl -4.915 -2.117 4.685
Tl -2.813 -1.633 2.622
Tl -0.774 -4.219 2.820
Tl -4.344 0.102 7.059
P -5.535 2.637 5.993
P -2.193 -6.387 1.314
P -1.395 0.535 4.128
P -3.724 -4.652 5.751

The structure with the least stability is *y*.

*w*
12
Lattice="5.058 0.000 0.001 0.000 11.443 0.000 -4.933 0.000 5.045" Properties=species:S:1:pos:R:3 comment="ScTlP PBE-GGA optimized geometry" mass_density_g_cm3=6.38 dos_at_fermi_per_ev_atom=0.371 pbc="T T T"
Sc 0.000 8.572 0.000
Sc 0.000 2.871 0.000
Sc -2.466 2.851 2.523
Sc -2.466 8.592 2.523
Tl 3.710 0.000 1.136
Tl -3.585 0.000 3.910
Tl 1.244 5.722 3.658
Tl -1.119 5.722 1.387
P 0.063 2.273 2.523
P 0.063 9.170 2.523
P 2.529 7.995 0.000
P 2.529 3.449 0.000

*x*
3
Lattice="-3.355 -2.286 -2.366 -4.284 -0.479 1.871 -3.632 2.372 -1.808" Properties=species:S:1:pos:R:3 comment="ScTlP PBE-GGA optimized geometry" mass_density_g_cm3=6.34 dos_at_fermi_per_ev_atom=1.417 pbc="T T T"
Sc 0.000 0.000 0.000
Tl -5.636 -0.197 -1.151
P -2.818 -0.098 -0.576

The structure with the least stability is *x*.

*w*
3
Lattice="-3.602 -2.595 -1.450 -3.375 1.928 -2.590 -0.404 -1.118 -4.517" Properties=species:S:1:pos:R:3 comment="ScTlP PBE-GGA optimized geometry" mass_density_g_cm3=6.46 dos_at_fermi_per_ev_atom=0.974 pbc="T T T"
Sc -1.845 -0.446 -2.139
Tl 0.000 0.000 0.000
P -3.691 -0.893 -4.278

*x*
3
Lattice="3.642 0.000 0.007 0.000 3.590 0.000 -0.023 0.000 5.542" Properties=species:S:1:pos:R:3 comment="ScTlP PBE-GGA optimized geometry" mass_density_g_cm3=6.42 dos_at_fermi_per_ev_atom=0.374 pbc="T T T"
Sc 1.495 1.795 4.099
Tl 1.518 0.000 1.458
P 3.315 0.000 4.615

The structure with the least stability is *w*.

*w*
4
Lattice="-3.219 -1.954 1.037 1.600 -3.429 -1.496 2.948 -2.754 3.963" Properties=species:S:1:pos:R:3 comment="Sc2TlP PBE-GGA optimized geometry" mass_density_g_cm3=6.43 dos_at_fermi_per_ev_atom=0.766 pbc="T T T"
Sc 1.738 -3.333 -0.884
Sc 1.308 -4.873 2.235
Tl 1.908 -2.079 2.007
P -0.553 -2.659 0.631

*x*
4
Lattice="8.072 -1.884 0.006 8.072 1.884 0.006 7.630 0.000 3.239" Properties=species:S:1:pos:R:3 comment="Sc2TlP PBE-GGA optimized geometry" mass_density_g_cm3=5.49 dos_at_fermi_per_ev_atom=1.212 pbc="T T T"
Sc 23.273 0.000 3.183
Sc 17.814 0.000 2.436
Tl 12.243 0.000 1.674
P 6.104 0.000 0.835

*y*
4
Lattice="-2.540 -0.176 4.154 -1.239 -4.243 -2.049 2.728 -1.570 1.601" Properties=species:S:1:pos:R:3 comment="Sc2TlP PBE-GGA optimized geometry" mass_density_g_cm3=6.57 dos_at_fermi_per_ev_atom=0.673 pbc="T T T"
Sc -1.270 -0.088 2.077
Sc -0.620 -2.122 -1.025
Tl 1.364 -0.785 0.801
P -0.526 -2.994 1.853

*z*
4
Lattice="-0.369 -0.990 -3.523 -3.344 -1.346 0.729 -2.916 6.433 -1.503" Properties=species:S:1:pos:R:3 comment="Sc2TlP PBE-GGA optimized geometry" mass_density_g_cm3=5.53 dos_at_fermi_per_ev_atom=0.281 pbc="T T T"
Sc -2.584 5.700 -1.332
Sc -2.592 0.454 -1.776
Tl -1.343 2.962 -0.692
P -4.485 4.629 -2.752

The structure with the least stability is *x*.

*w*
4
Lattice="-1.551 -0.924 -4.288 -1.572 -4.129 1.458 -3.325 1.571 0.864" Properties=species:S:1:pos:R:3 comment="Sc2TlP PBE-GGA optimized geometry" mass_density_g_cm3=6.61 dos_at_fermi_per_ev_atom=1.093 pbc="T T T"
Sc -0.775 -0.462 -2.144
Sc -0.786 -2.065 0.729
Tl -3.224 -1.741 -0.983
P -1.662 0.785 0.432

*x*
4
Lattice="3.456 0.000 0.000 0.000 3.305 0.003 0.000 1.056 7.328" Properties=species:S:1:pos:R:3 comment="Sc2TlP PBE-GGA optimized geometry" mass_density_g_cm3=6.45 dos_at_fermi_per_ev_atom=0.861 pbc="T T T"
Sc 0.000 1.035 5.185
Sc 0.000 3.325 2.146
Tl 1.728 1.652 0.002
P 1.728 2.180 3.666

The structure with the least stability is *w*.

*w*
4
Lattice="3.275 0.000 0.000 0.000 3.275 0.000 0.000 0.000 7.742" Properties=species:S:1:pos:R:3 comment="Sc2TlP PBE-GGA optimized geometry" mass_density_g_cm3=6.51 dos_at_fermi_per_ev_atom=1.066 pbc="T T T"
Sc 0.000 0.000 5.379
Sc 0.000 0.000 2.363
Tl 1.637 1.637 0.000
P 1.637 1.637 3.871

*x*
4
Lattice="-2.264 2.264 3.976 2.264 -2.264 3.976 2.264 2.264 -3.976" Properties=species:S:1:pos:R:3 comment="Sc2TlP PBE-GGA optimized geometry" mass_density_g_cm3=6.63 dos_at_fermi_per_ev_atom=0.926 pbc="T T T"
Sc 0.000 2.264 1.988
Sc 2.264 0.000 1.988
Tl 0.000 0.000 3.976
P 0.000 0.000 0.000

The structure with the least stability is *x*.